Material: PaFe2As
Method: DFT, GGA-PBE
State: relaxed

abc: 3.8997 3.8997 14.1643
angles: 90.00 90.00 120.00
Space group R-3m (No. 166, hexagonal axes)
Inequivalent atoms, fractional coordinates:
Pa  0.0000  0.0000  0.0000 [3 per cell]
Fe  0.0000  0.0000  0.2171 [6 per cell]
As  0.0000  0.0000  0.5000 [3 per cell]

Results
- Excess energy over the best structure of this formula in the dataset: 0.0 meV/atom
- Energy of formation from the pure elements: -0.29 eV per atom